Entry 1:
# Eu2PtI

An optimized crystal structure of Eu2PtI (GGA-PBE, Alexandria via LeMat-Bulk).

a b c (Å): 3.7537 3.7537 8.1301
angles (deg): 90.00 90.00 90.00
Atoms (fractional coordinates):
Eu  0.0000  0.0000  0.2080
Eu  0.0000  0.0000  0.7920
Pt  0.5000  0.5000  0.0000
I  0.5000  0.5000  0.5000

Summary:
For the volume, the calculation gives 28.64 Å³/atom. The formation energy (no corrections) is -1045 meV/atom. The uncorrected energy is -32.319 eV per formula unit. The total magnetic moment comes out at 3.603 μB/atom.

Entry 2:
# EuPtI2

An optimized crystal structure of EuPtI2 (GGA-PBE, Alexandria via LeMat-Bulk).

a b c (Å): 8.4446 8.4446 8.4446
angles (deg): 35.57 35.57 35.57
Atoms (fractional coordinates):
Eu  0.0000  0.0000  0.0000
Pt  0.5000  0.5000  0.5000
I  0.3947  0.3947  0.3947
I  0.6053  0.6053  0.6053

Summary:
For the volume, the calculation gives 45.53 Å³/atom. The formation energy (no corrections) is -528 meV/atom. The uncorrected energy is -21.528 eV per formula unit. The total magnetic moment comes out at 1.723 μB/atom.

Entry 3:
# Rb2EuI4

An optimized crystal structure of Rb2EuI4 (GGA-PBE, Alexandria via LeMat-Bulk).

a b c (Å): 10.3987 10.3987 10.3987
angles (deg): 144.48 144.48 51.11
Atoms (fractional coordinates):
Rb  0.1379  0.1379  0.0000
Rb  0.8621  0.8621  0.0000
Eu  0.5000  0.5000  0.0000
I  0.0000  0.5000  0.5000
I  0.3291  0.3291  0.0000
I  0.5000  0.0000  0.5000
I  0.6709  0.6709  0.0000

Summary:
For the volume, the calculation gives 53.94 Å³/atom. The formation energy (no corrections) is -1506 meV/atom. The uncorrected energy is -28.955 eV per formula unit. The total magnetic moment comes out at 1.000 μB/atom.

Entry 4:
# RbEuI2

An optimized crystal structure of RbEuI2 (GGA-PBE, Alexandria via LeMat-Bulk).

a b c (Å): 9.9995 9.9995 9.9995
angles (deg): 26.30 26.30 26.30
Atoms (fractional coordinates):
Rb  0.0000  0.0000  0.0000
Eu  0.5000  0.5000  0.5000
I  0.2373  0.2373  0.2373
I  0.7627  0.7627  0.7627

Summary:
For the volume, the calculation gives 43.25 Å³/atom. The formation energy (no corrections) is -1212 meV/atom. The uncorrected energy is -19.191 eV per formula unit. The total magnetic moment comes out at 1.908 μB/atom.

Entry 5:
# RbEuI2

An optimized crystal structure of RbEuI2 (GGA-PBE, Alexandria via LeMat-Bulk).

a b c (Å): 4.1490 4.1490 8.8540
angles (deg): 90.00 90.00 90.00
Atoms (fractional coordinates):
Rb  0.0000  0.0000  0.0000
Eu  0.0000  0.0000  0.5000
I  0.5000  0.5000  0.2782
I  0.5000  0.5000  0.7218

Summary:
For the volume, the calculation gives 38.10 Å³/atom. The formation energy (no corrections) is -1175 meV/atom. The uncorrected energy is -19.043 eV per formula unit. The total magnetic moment comes out at 1.982 μB/atom.

Entry 6:
# Rb3Eu5I12

An optimized crystal structure of Rb3Eu5I12 (GGA-PBE, Alexandria via LeMat-Bulk).

a b c (Å): 17.7030 17.7030 17.7030
angles (deg): 109.47 109.47 109.47
Atoms (fractional coordinates):
Rb  0.1250  0.2500  0.3750
Rb  0.1250  0.3750  0.7500
Rb  0.2500  0.3750  0.1250
Rb  0.2500  0.8750  0.6250
Rb  0.3750  0.1250  0.2500
Rb  0.3750  0.7500  0.1250
Rb  0.6250  0.2500  0.8750
Rb  0.6250  0.8750  0.7500
Rb  0.7500  0.1250  0.3750
Rb  0.7500  0.6250  0.8750
Rb  0.8750  0.6250  0.2500
Rb  0.8750  0.7500  0.6250
Eu  0.0000  0.0000  0.0000
Eu  0.0000  0.0000  0.5000
Eu  0.0000  0.5000  0.0000
Eu  0.0000  0.5000  0.5000
Eu  0.1250  0.7500  0.8750
Eu  0.1250  0.8750  0.2500
Eu  0.2500  0.1250  0.8750
Eu  0.2500  0.6250  0.3750
Eu  0.3750  0.2500  0.6250
Eu  0.3750  0.6250  0.7500
Eu  0.5000  0.0000  0.0000
Eu  0.5000  0.0000  0.5000
Eu  0.5000  0.5000  0.0000
Eu  0.5000  0.5000  0.5000
Eu  0.6250  0.3750  0.2500
Eu  0.6250  0.7500  0.3750
Eu  0.7500  0.3750  0.6250
Eu  0.7500  0.8750  0.1250
Eu  0.8750  0.1250  0.7500
Eu  0.8750  0.2500  0.1250
I  0.0328  0.2075  0.1202
I  0.0328  0.3253  0.9125
I  0.0875  0.6202  0.4127
I  0.0873  0.7075  0.6747
I  0.0873  0.8798  0.4125
I  0.0875  0.9672  0.6747
I  0.1202  0.0328  0.2075
I  0.1202  0.5875  0.9127
I  0.1747  0.2075  0.5873
I  0.1747  0.4672  0.5875
I  0.2075  0.1202  0.0328
I  0.2075  0.5873  0.1747
I  0.2925  0.3253  0.9127
I  0.2925  0.4672  0.3798
I  0.3253  0.9125  0.0328
I  0.3253  0.9127  0.2925
I  0.3798  0.2925  0.4672
I  0.3798  0.5873  0.9125
I  0.4127  0.0875  0.6202
I  0.4125  0.0873  0.8798
I  0.4125  0.8253  0.5327
I  0.4127  0.8253  0.7925
I  0.4672  0.3798  0.2925
I  0.4672  0.5875  0.1747
I  0.5327  0.4125  0.8253
I  0.5327  0.6202  0.7075
I  0.5873  0.1747  0.2075
I  0.5875  0.1747  0.4672
I  0.5875  0.9127  0.1202
I  0.5873  0.9125  0.3798
I  0.6202  0.4127  0.0875
I  0.6202  0.7075  0.5327
I  0.6747  0.0873  0.7075
I  0.6747  0.0875  0.9672
I  0.7075  0.5327  0.6202
I  0.7075  0.6747  0.0873
I  0.7925  0.4127  0.8253
I  0.7925  0.8798  0.9672
I  0.8253  0.5327  0.4125
I  0.8253  0.7925  0.4127
I  0.8798  0.4125  0.0873
I  0.8798  0.9672  0.7925
I  0.9125  0.0328  0.3253
I  0.9127  0.1202  0.5875
I  0.9127  0.2925  0.3253
I  0.9125  0.3798  0.5873
I  0.9672  0.6747  0.0875
I  0.9672  0.7925  0.8798

Summary:
For the volume, the calculation gives 53.39 Å³/atom. The formation energy (no corrections) is -1445 meV/atom. The uncorrected energy is -101.778 eV per formula unit. The total magnetic moment comes out at 1.779 μB/atom.

Which formula does entry 4 have? RbEuI2

The highest uncorrected energy belongs to which entry? number 5

formation energy (no corrections) of number 5 (RbEuI2)? -1175 meV/atom